Density functional theory data (GGA-PBE) for crystalline Al2ReTe at its relaxed geometry.

Properties
Magnetization in μB per atom: 0.003
Final energy in eV per atom: -5.310

abc: 5.1482 5.1482 5.1482
angles: 139.58 126.17 69.42
Fractional coordinates of all 4 atoms:
Al 0.9895 0.9895 0.0000
Al 0.7535 0.2535 0.5000
Re 0.5192 0.5192 0.0000
Te 0.2377 0.7377 0.5000

=====

Density functional theory data (GGA-PBE) for crystalline AlReTe2 at its relaxed geometry.

Properties
Magnetization in μB per atom: 0.000
Final energy in eV per atom: -4.895

abc: 3.1184 3.1184 10.1779
angles: 90.00 90.00 116.89
Fractional coordinates of all 4 atoms:
Te 0.0000 0.0000 0.9673
Te 0.0000 0.0000 0.5327
Al 0.5000 0.5000 0.2500
Re 0.5000 0.5000 0.7500

=====

Density functional theory data (GGA-PBE) for crystalline Al2ReTe at its relaxed geometry.

Properties
Magnetization in μB per atom: 0.000
Final energy in eV per atom: -5.266

abc: 3.3662 4.6915 4.4433
angles: 90.00 90.00 90.00
Fractional coordinates of all 4 atoms:
Al 0.5000 0.5000 0.0000
Al 0.0000 0.0000 0.0000
Te 0.0000 0.5000 0.5000
Re 0.5000 0.0000 0.5000

=====

Density functional theory data (GGA-PBE) for crystalline Al2ReTe at its relaxed geometry.

Properties
Magnetization in μB per atom: 0.000
Final energy in eV per atom: -5.593

abc: 4.2871 2.9190 6.7367
angles: 77.50 90.00 90.00
Fractional coordinates of all 4 atoms:
Al 0.5000 0.1458 0.3335
Al 0.0000 0.2916 0.0418
Te 0.5000 0.4306 0.7637
Re 0.0000 0.6320 0.3610

=====

Density functional theory data (GGA-PBE) for crystalline Al2ReTe at its relaxed geometry.

Properties
Magnetization in μB per atom: 0.000
Final energy in eV per atom: -5.299

abc: 4.7900 4.7900 4.7900
angles: 126.12 126.12 79.70
Fractional coordinates of all 4 atoms:
Al 0.0000 0.0000 0.0000
Al 0.2500 0.7500 0.5000
Te 0.7500 0.2500 0.5000
Re 0.5000 0.5000 0.0000

=====

Density functional theory data (GGA-PBE) for crystalline AlReTe3 at its relaxed geometry.

Properties
Magnetization in μB per atom: 0.000
Final energy in eV per atom: -4.378

abc: 5.2952 5.2952 5.2952
angles: 90.00 90.00 90.00
Fractional coordinates of all 5 atoms:
Te 0.5000 0.0000 0.0000
Te 0.0000 0.0000 0.5000
Te 0.0000 0.5000 0.0000
Al 0.5000 0.5000 0.5000
Re 0.0000 0.0000 0.0000

=====

Density functional theory data (GGA-PBE) for crystalline AlReTe3 at its relaxed geometry.

Properties
Magnetization in μB per atom: 0.801
Final energy in eV per atom: -3.827

abc: 5.2703 5.2703 5.2703
angles: 90.00 90.00 90.00
Site moments in Bohr magnetons follow the coordinates.
Fractional coordinates of all 5 atoms:
Te 0.0000 0.0000 0.5000  -0.10
Te 0.5000 0.0000 0.0000  -0.10
Te 0.0000 0.5000 0.0000  -0.13
Re 0.5000 0.5000 0.5000  3.70
Al 0.0000 0.0000 0.0000  0.00

=====

Density functional theory data (GGA-PBE) for crystalline Al2ReTe at its relaxed geometry.

Properties
Magnetization in μB per atom: 0.000
Final energy in eV per atom: -5.636

abc: 3.3281 3.3438 6.9426
angles: 66.78 90.00 90.00
Fractional coordinates of all 4 atoms:
Al 0.0000 0.9241 0.0492
Al 0.0000 0.5759 0.4508
Re 0.5000 0.2500 0.2500
Te 0.5000 0.7500 0.7500

=====

> What is the magnetization in the seventh record?

0.801 μB per atom

=====

> Look up the magnetization of the fifth one.

0.000 μB per atom

=====

> Which formula does entry 6 have?

AlReTe3